Record 1
# HoGa3Pt2, optimized geometry, DFT PBE
# * size of the total moment: 0.0 Bohr magnetons per cell
# * DFT total energy: -92.0 eV per cell
# * space group: C2/m (12)
data_HoGa3Pt2
_chemical_formula_sum 'Ho3 Ga9 Pt6'
_space_group_name_H-M_alt 'P 1'
_space_group_IT_number 1
_cell_length_a 4.067
_cell_length_b 8.657
_cell_length_c 9.986
_cell_angle_alpha 104.47
_cell_angle_beta 90.00
_cell_angle_gamma 103.59
loop_
_space_group_symop_operation_xyz
'x,y,z'
loop_
_atom_site_label
_atom_site_type_symbol
_atom_site_fract_x
_atom_site_fract_y
_atom_site_fract_z
Ga1 Ga 0.045 0.089 0.361
Ga2 Ga 0.500 0.000 0.500
Ga3 Ga 0.369 0.738 0.810
Ga4 Ga 0.780 0.559 0.620
Ga5 Ga 0.657 0.313 0.945
Ga6 Ga 0.220 0.441 0.380
Ga7 Ga 0.343 0.687 0.055
Ga8 Ga 0.955 0.911 0.639
Ga9 Ga 0.631 0.262 0.190
Pt1 Pt 0.642 0.284 0.453
Pt2 Pt 0.795 0.589 0.885
Pt3 Pt 0.518 0.036 0.780
Pt4 Pt 0.205 0.411 0.115
Pt5 Pt 0.358 0.716 0.547
Pt6 Pt 0.482 0.964 0.220
Ho1 Ho 0.000 0.000 0.000
Ho2 Ho 0.847 0.693 0.295
Ho3 Ho 0.153 0.307 0.705

Record 2
# HoGa2Pt4, optimized geometry, DFT PBE
# * E above lowest polymorph: 13.5 meV per atom
# * size of the total moment: 0.0 Bohr magnetons per cell
# * DFT total energy: -81.1 eV per cell
# * space group: P4_2/mnm (136)
data_HoGa2Pt4
_chemical_formula_sum 'Ho2 Ga4 Pt8'
_space_group_name_H-M_alt 'P 1'
_space_group_IT_number 1
_cell_length_a 3.975
_cell_length_b 7.839
_cell_length_c 7.839
_cell_angle_alpha 90.00
_cell_angle_beta 90.00
_cell_angle_gamma 90.00
loop_
_space_group_symop_operation_xyz
'x,y,z'
loop_
_atom_site_label
_atom_site_type_symbol
_atom_site_fract_x
_atom_site_fract_y
_atom_site_fract_z
Pt1 Pt 0.000 0.328 0.077
Pt2 Pt 0.000 0.672 0.923
Pt3 Pt 0.000 0.077 0.328
Pt4 Pt 0.500 0.828 0.423
Pt5 Pt 0.000 0.923 0.672
Pt6 Pt 0.500 0.423 0.828
Pt7 Pt 0.500 0.577 0.172
Pt8 Pt 0.500 0.172 0.577
Ga1 Ga 0.500 0.725 0.725
Ga2 Ga 0.000 0.775 0.225
Ga3 Ga 0.000 0.225 0.775
Ga4 Ga 0.500 0.275 0.275
Ho1 Ho 0.500 0.000 0.000
Ho2 Ho 0.000 0.500 0.500

Record 3
# Ho7Ga2Pt2, optimized geometry, DFT PBE
# * size of the total moment: 0.0 Bohr magnetons per cell
# * DFT total energy: -56.4 eV per cell
# * space group: Cmmm (65)
data_Ho7Ga2Pt2
_chemical_formula_sum 'Ho7 Ga2 Pt2'
_space_group_name_H-M_alt 'P 1'
_space_group_IT_number 1
_cell_length_a 6.703
_cell_length_b 6.972
_cell_length_c 6.703
_cell_angle_alpha 89.99
_cell_angle_beta 107.52
_cell_angle_gamma 90.01
loop_
_space_group_symop_operation_xyz
'x,y,z'
loop_
_atom_site_label
_atom_site_type_symbol
_atom_site_fract_x
_atom_site_fract_y
_atom_site_fract_z
Ho1 Ho 0.500 0.738 0.000
Ho2 Ho 0.500 0.744 0.500
Ho3 Ho 0.000 0.000 0.000
Ho4 Ho 0.000 0.262 0.500
Ho5 Ho 0.500 0.262 0.000
Ho6 Ho 0.000 0.738 0.500
Ho7 Ho 0.500 0.256 0.500
Ga1 Ga 0.167 0.500 0.167
Ga2 Ga 0.833 0.500 0.833
Pt1 Pt 0.290 0.000 0.710
Pt2 Pt 0.710 0.000 0.290

Record 4
# Ho2GaPt9, optimized geometry, DFT PBE
# * size of the total moment: 0.0 Bohr magnetons per cell
# * DFT total energy: -76.6 eV per cell
# * space group: P4/mmm (123)
data_Ho2GaPt9
_chemical_formula_sum 'Ho2 Ga1 Pt9'
_space_group_name_H-M_alt 'P 1'
_space_group_IT_number 1
_cell_length_a 4.075
_cell_length_b 4.075
_cell_length_c 12.081
_cell_angle_alpha 90.00
_cell_angle_beta 90.00
_cell_angle_gamma 90.00
loop_
_space_group_symop_operation_xyz
'x,y,z'
loop_
_atom_site_label
_atom_site_type_symbol
_atom_site_fract_x
_atom_site_fract_y
_atom_site_fract_z
Pt1 Pt 0.000 0.500 0.500
Pt2 Pt 0.500 0.000 0.155
Pt3 Pt 0.500 0.500 0.673
Pt4 Pt 0.000 0.500 0.155
Pt5 Pt 0.500 0.000 0.500
Pt6 Pt 0.500 0.500 0.327
Pt7 Pt 0.500 0.000 0.845
Pt8 Pt 0.000 0.500 0.845
Pt9 Pt 0.500 0.500 0.000
Ga1 Ga 0.000 0.000 0.000
Ho1 Ho 0.000 0.000 0.329
Ho2 Ho 0.000 0.000 0.671